Entry 1:
Here is a relaxed AlZn2Se crystal from Alexandria via LeMat-Bulk. Energies are from PBE.

Computed properties:
Space-group type   P4/mmm
ΔE_f (raw)   0.2 eV/f.u.
VASP energy   -9.5 eV/f.u.

The structure in extended XYZ format:
```
4
Lattice="3.630 0.000 0.000 0.000 3.630 0.000 0.000 0.000 5.460" Properties=species:S:1:pos:R:3 pbc="T T T"
Al 0.000 0.000 0.000
Zn 1.815 1.815 1.298
Zn 1.815 1.815 4.162
Se 0.000 0.000 2.730
```

Entry 2:
Here is a relaxed NdYCoBr crystal from Alexandria via LeMat-Bulk. Energies are from PBE.

Computed properties:
Space-group type   R3m
ΔE_f (raw)   -2.8 eV/f.u.
VASP energy   -22.8 eV/f.u.

The structure in extended XYZ format:
```
4
Lattice="1.961 1.132 7.776 -1.961 1.132 7.776 0.000 -2.264 7.776" Properties=species:S:1:pos:R:3 pbc="T T T"
Nd 0.000 0.000 0.000
Y 0.000 0.000 18.513
Co 0.000 0.000 9.274
Br 0.000 0.000 5.233
```

Entry 3:
Here is a relaxed La2NdF11 crystal from Alexandria via LeMat-Bulk. Energies are from PBE.

Computed properties:
Space-group type   Ibam
ΔE_f (raw)   -48.1 eV/f.u.
VASP energy   -83.3 eV/f.u.

The structure in extended XYZ format:
```
28
Lattice="-4.453 5.345 5.893 4.453 -5.345 5.893 4.453 5.345 -5.893" Properties=species:S:1:pos:R:3 pbc="T T T"
La 1.496 2.049 0.000
La 5.949 3.296 0.000
La -1.496 2.049 5.893
La 2.958 3.296 5.893
Nd 4.453 0.000 2.946
Nd 0.000 5.345 2.946
F 0.000 0.000 0.000
F 5.353 1.813 -1.705
F 6.224 -0.785 1.567
F 3.531 -3.369 5.893
F 5.353 -1.813 4.188
F 2.683 0.785 1.567
F 2.683 -0.785 4.325
F 5.353 1.813 1.705
F 3.531 3.369 0.000
F 1.771 6.130 -1.567
F 0.900 3.532 1.705
F 0.000 0.000 5.893
F 3.554 1.813 4.188
F 2.683 -0.785 7.460
F 0.923 1.976 5.893
F -0.900 3.532 4.188
F 1.771 6.130 1.567
F 1.771 4.560 4.325
F -0.900 7.158 1.705
F 0.923 8.714 0.000
F -1.771 6.130 4.325
F -0.900 3.532 7.597
```

Entry 4:
Here is a relaxed UAs2S6 crystal from Alexandria via LeMat-Bulk. Energies are from PBE.

Computed properties:
Space-group type   C2/c
ΔE_f (raw)   -4.1 eV/f.u.
VASP energy   -49.4 eV/f.u.

The structure in extended XYZ format:
```
18
Lattice="7.300 -5.539 0.000 7.300 5.539 0.000 -0.270 0.000 6.304" Properties=species:S:1:pos:R:3 pbc="T T T"
U 7.098 4.395 4.728
U 7.233 -4.395 1.576
As 4.306 0.921 4.263
As 4.441 -0.921 1.111
As 9.890 0.921 5.194
As 10.024 -0.921 2.042
S 1.139 0.747 5.873
S 5.530 2.735 3.556
S 1.274 -0.747 2.721
S 5.356 0.723 6.294
S 8.665 2.735 5.900
S 5.491 -0.723 3.142
S 8.840 0.723 3.162
S 5.665 -2.735 0.404
S 8.974 -0.723 0.010
S 13.057 0.747 3.583
S 8.800 -2.735 2.748
S 13.191 -0.747 0.431
```